1.
# CaAgO2F

CaAgO2F after structural relaxation (PBE, Alexandria).

## Properties
calculated density	3.74	g cm⁻³
symmetry	No. 123
uncorrected formation energy	-5.09	eV per formula unit

Cell lengths 4.520, 4.520, 4.324 Å; angles 90.00, 90.00, 90.00 degrees
Site moments in Bohr magnetons follow the coordinates.
Fractional positions:
1 Ca 0.000 0.000 0.000  0.02
2 O 0.000 0.500 0.000  -0.80
3 O 0.500 0.000 0.000  -0.80
4 Ag 0.500 0.500 0.500  -0.07
5 F 0.000 0.000 0.500  -0.03

=====

2.
# CaAgO2F

CaAgO2F after structural relaxation (PBE, Alexandria).

## Properties
calculated density	4.65	g cm⁻³
symmetry	No. 123
uncorrected formation energy	-6.40	eV per formula unit

Cell lengths 4.100, 4.100, 4.227 Å; angles 90.00, 90.00, 90.00 degrees
Fractional positions:
1 Ca 0.500 0.500 0.500
2 O 0.000 0.500 0.000
3 O 0.500 0.000 0.000
4 Ag 0.000 0.000 0.000
5 F 0.000 0.000 0.500

=====

Repeat the first record exactly.
# CaAgO2F

CaAgO2F after structural relaxation (PBE, Alexandria).

## Properties
calculated density	3.74	g cm⁻³
symmetry	No. 123
uncorrected formation energy	-5.09	eV per formula unit

Cell lengths 4.520, 4.520, 4.324 Å; angles 90.00, 90.00, 90.00 degrees
Site moments in Bohr magnetons follow the coordinates.
Fractional positions:
1 Ca 0.000 0.000 0.000  0.02
2 O 0.000 0.500 0.000  -0.80
3 O 0.500 0.000 0.000  -0.80
4 Ag 0.500 0.500 0.500  -0.07
5 F 0.000 0.000 0.500  -0.03